Record 1
This record from Alexandria via LeMat-Bulk describes a geometry-optimized Ba2LaScS structure. The functional is GGA-PBE.

a b c (Å): 7.091 5.260 7.091
angles (deg): 90.00 90.00 90.00
Each line ends with the local moment (μB).
Sites, in units of the cell vectors:
Sc 0.500 0.500 0.500  0.83
S 0.000 0.500 0.000  0.01
Ba 0.000 0.000 0.500  -0.01
Ba 0.500 0.000 0.000  0.01
La 0.000 0.000 0.000  -0.12

## Properties
The raw total energy comes out at -17.79 eV/f.u. The calculation puts the uncorrected formation energy at 0.29 eV/atom.


Record 2
This record from Alexandria via LeMat-Bulk describes a geometry-optimized BaLaSiS2 structure. The functional is GGA-PBE.

a b c (Å): 5.527 5.547 5.527
angles (deg): 90.00 90.00 90.00
Each line ends with the local moment (μB).
Sites, in units of the cell vectors:
S 0.000 0.000 0.500  0.04
S 0.500 0.000 0.000  0.01
Si 0.000 0.500 0.000  0.17
Ba 0.500 0.500 0.500  0.02
La 0.000 0.000 0.000  0.04

## Properties
The raw total energy comes out at -24.47 eV/f.u. The calculation puts the uncorrected formation energy at -0.79 eV/atom.


Record 3
This record from Alexandria via LeMat-Bulk describes a geometry-optimized BaLa2Si2S8 structure. The functional is GGA-PBE.

a b c (Å): 9.213 9.213 10.445
angles (deg): 65.44 65.44 61.45
Sites, in units of the cell vectors:
Ba 0.247 0.094 0.258
Ba 0.094 0.247 0.758
La 0.944 0.748 0.248
La 0.555 0.444 0.245
La 0.748 0.944 0.748
La 0.444 0.555 0.745
Si 0.153 0.674 0.520
Si 0.674 0.153 0.020
Si 0.816 0.355 0.479
Si 0.355 0.816 0.979
S 0.384 0.719 0.444
S 0.936 0.885 0.454
S 0.204 0.479 0.427
S 0.885 0.936 0.954
S 0.719 0.384 0.944
S 0.479 0.204 0.927
S 0.594 0.288 0.553
S 0.001 0.131 0.575
S 0.764 0.568 0.546
S 0.131 0.001 0.075
S 0.288 0.594 0.053
S 0.568 0.764 0.046
S 0.891 0.436 0.245
S 0.436 0.891 0.745
S 0.085 0.606 0.755
S 0.606 0.085 0.255

## Properties
The raw total energy comes out at -76.01 eV/f.u. The calculation puts the uncorrected formation energy at -1.57 eV/atom.


Record 4
This record from Alexandria via LeMat-Bulk describes a geometry-optimized Ba2LaSmS4 structure. The functional is GGA-PBE.

a b c (Å): 4.252 7.351 7.586
angles (deg): 108.88 90.00 90.00
Sites, in units of the cell vectors:
Ba 0.500 0.000 0.500
Ba 0.000 0.500 0.500
La 0.500 0.500 0.000
Sm 0.000 0.000 0.000
S 0.500 0.234 0.218
S 0.500 0.766 0.782
S 0.000 0.254 0.779
S 0.000 0.746 0.221

## Properties
The raw total energy comes out at -46.42 eV/f.u. The calculation puts the uncorrected formation energy at -2.05 eV/atom.